VASP calculation (PBE) on MnIn2AuS after structural relaxation.

Calculated values
SG = No. 123
raw total energy = -3.545 eV per atom
uncorrected formation energy = 0.865 eV/atom
V = 226.29 Å³/cell

Cell lengths 6.2792, 5.7393, 6.2792 Å; angles 90.00, 90.00, 90.00 degrees
Positions (direct):
S: 0.5000 0.5000 0.5000
Mn: 0.0000 0.5000 0.0000
In: 0.5000 0.0000 0.0000
In: 0.0000 0.0000 0.5000
Au: 0.0000 0.0000 0.0000

=====

VASP calculation (PBE) on Mg2PbF7 after structural relaxation.

Calculated values
SG = No. 65
raw total energy = -4.746 eV per atom
uncorrected formation energy = -2.746 eV/atom
V = 129.01 Å³/cell

Cell lengths 3.7722, 6.0950, 6.0950 Å; angles 112.98, 90.00, 90.00 degrees
Positions (direct):
F: 0.5000 0.9446 0.6845
F: 0.5000 0.0554 0.3155
F: 0.0000 0.2759 0.7241
F: 0.5000 0.6845 0.9446
F: 0.5000 0.5000 0.5000
F: 0.0000 0.7241 0.2759
F: 0.5000 0.3155 0.0554
Mg: 0.5000 0.6930 0.3070
Mg: 0.5000 0.3070 0.6930
Pb: 0.0000 0.0000 0.0000

=====

VASP calculation (PBE) on Cd2InTe after structural relaxation.

Calculated values
SG = No. 65
raw total energy = -1.850 eV per atom
energy above the most stable polymorph in this dataset = 155 meV per atom
uncorrected formation energy = 0.078 eV/atom
V = 108.38 Å³/cell

Cell lengths 3.2215, 3.2215, 10.8364 Å; angles 90.00, 90.00, 105.49 degrees
Positions (direct):
Cd: 0.0000 0.0000 0.0034
Cd: 0.0000 0.0000 0.4966
In: 0.5000 0.5000 0.2500
Te: 0.5000 0.5000 0.7500

=====

VASP calculation (PBE) on Ba2SrO3 after structural relaxation.

Calculated values
SG = No. 71
raw total energy = -5.935 eV per atom
energy above the most stable polymorph in this dataset = 2 meV per atom
uncorrected formation energy = -2.535 eV/atom
V = 247.40 Å³/cell

Cell lengths 3.8614, 5.4857, 11.6792 Å; angles 90.00, 90.00, 90.00 degrees
Positions (direct):
O: 0.7501 0.0000 0.5000
O: 0.2494 0.5000 0.6540
O: 0.7506 0.0000 0.8460
O: 0.7506 0.0000 0.1540
O: 0.2499 0.5000 0.0000
O: 0.2494 0.5000 0.3460
Ba: 0.2500 0.0000 0.6652
Ba: 0.7500 0.5000 0.8348
Ba: 0.2500 0.0000 0.3348
Ba: 0.7500 0.5000 0.1652
Sr: 0.7499 0.5000 0.5000
Sr: 0.2501 0.0000 0.0000